First-principles (GGA+U) data for a relaxed CsCr2AgO8 crystal, as listed in Alexandria via LeMat-Bulk. Values from VASP.

Cell and atoms, written as Quantum ESPRESSO input:
```
&SYSTEM
  ibrav = 0, nat = 12, ntyp = 4
/
ATOMIC_SPECIES
Cs 132.91 Cs.upf
Cr 52.00 Cr.upf
Ag 107.87 Ag.upf
O 16.00 O.upf
CELL_PARAMETERS angstrom
2.643 1.526 8.830
-2.643 1.526 8.830
0.000 -3.052 8.830
ATOMIC_POSITIONS crystal
Cs 0.000 0.000 0.000
Cr 0.235 0.235 0.235
Cr 0.765 0.765 0.765
Ag 0.500 0.500 0.500
O 0.098 0.493 0.760
O 0.240 0.902 0.507
O 0.297 0.297 0.297
O 0.493 0.760 0.098
O 0.507 0.240 0.902
O 0.703 0.703 0.703
O 0.760 0.098 0.493
O 0.902 0.507 0.240
```

Results
Final energy   -0.4314 Ry/atom